1.
The following is a DFT calculation (GGA-PBE) of a relaxed structure of Cu4TeSeBr2.

Cell: 5.758 5.760 7.010 Å, 114.23 114.21 90.01°
Space group P1 (No. 1)
Unique sites:
1 Cu 0.000 0.000 0.000
2 Cu 0.231 0.763 0.522
3 Cu 0.467 0.474 0.000
4 Cu 0.758 0.233 0.524
5 Te 0.364 0.868 0.262
6 Se 0.115 0.117 0.761
7 Br 0.614 0.618 0.762
8 Br 0.864 0.367 0.261

energy: -3.45 eV per atom
DOS at the Fermi energy: 0.8299 states/eV/atom

***

2.
The following is a DFT calculation (GGA-PBE) of a relaxed structure of TiCuSe2Br.

Cell: 5.377 5.377 4.589 Å, 90.00 90.00 90.00°
Space group P4/mmm (No. 123)
Unique sites:
1 Ti 0.000 0.000 0.000
2 Cu 0.500 0.500 0.000
3 Se 0.000 0.500 0.500
4 Br 0.000 0.000 0.500

energy: -3.11 eV per atom
DOS at the Fermi energy: 0.9868 states/eV/atom

***

3.
The following is a DFT calculation (GGA-PBE) of a relaxed structure of TiCuSe2Br.

Cell: 4.915 4.915 5.173 Å, 90.00 90.00 90.00°
Space group P4/mmm (No. 123)
Unique sites:
1 Ti 0.000 0.000 0.000
2 Cu 0.500 0.500 0.500
3 Se 0.000 0.500 0.000
4 Br 0.000 0.000 0.500

energy: -4.23 eV per atom
DOS at the Fermi energy: 0.4826 states/eV/atom

***

4.
The following is a DFT calculation (GGA-PBE) of a relaxed structure of Tl2CuSeBr6.

Cell: 7.694 11.193 7.862 Å, 90.00 90.00 90.00°
Space group Pmmn (No. 59, origin choice 2)
Unique sites:
1 Tl 0.250 0.040 0.168
2 Cu 0.250 0.750 0.824
3 Se 0.250 0.250 0.694
4 Br 0.010 0.250 0.965
5 Br 0.015 0.250 0.482
6 Br 0.250 0.542 0.775

energy: -2.66 eV per atom
DOS at the Fermi energy: 0.4990 states/eV/atom

***

5.
The following is a DFT calculation (GGA-PBE) of a relaxed structure of TlCuSeBr2.

Cell: 5.653 5.653 5.406 Å, 90.00 90.00 90.00°
Space group P4/mmm (No. 123)
Unique sites:
1 Tl 0.000 0.000 0.000
2 Cu 0.500 0.500 0.500
3 Se 0.000 0.000 0.500
4 Br 0.000 0.500 0.000

energy: -2.21 eV per atom
DOS at the Fermi energy: 1.1293 states/eV/atom

***

6.
The following is a DFT calculation (GGA-PBE) of a relaxed structure of TlCuSeBr2.

Cell: 5.326 5.326 4.791 Å, 90.00 90.00 90.00°
Space group P4/mmm (No. 123)
Unique sites:
1 Tl 0.000 0.000 0.000
2 Cu 0.500 0.500 0.500
3 Se 0.500 0.500 0.000
4 Br 0.000 0.500 0.500

energy: -2.86 eV per atom
DOS at the Fermi energy: 0.8857 states/eV/atom

***

7.
The following is a DFT calculation (GGA-PBE) of a relaxed structure of VCuSeBr2.

Cell: 5.199 5.199 4.751 Å, 90.00 90.00 90.00°
Space group P4/mmm (No. 123)
Unique sites:
1 V 0.000 0.000 0.000
2 Cu 0.500 0.500 0.500
3 Se 0.000 0.000 0.500
4 Br 0.000 0.500 0.000

energy: -3.92 eV per atom
DOS at the Fermi energy: 0.4610 states/eV/atom

***

8.
The following is a DFT calculation (GGA-PBE) of a relaxed structure of CuWSe2Br.

Cell: 4.867 4.867 5.384 Å, 90.00 90.00 90.00°
Space group P4/mmm (No. 123)
Unique sites:
1 Cu 0.000 0.000 0.000
2 W 0.500 0.500 0.500
3 Se 0.000 0.500 0.500
4 Br 0.500 0.500 0.000

energy: -4.57 eV per atom
DOS at the Fermi energy: 0.8063 states/eV/atom

***

9.
The following is a DFT calculation (GGA-PBE) of a relaxed structure of CuWSeBr2.

Cell: 5.279 5.279 4.832 Å, 90.00 90.00 90.00°
Space group P4/mmm (No. 123)
Unique sites:
1 Cu 0.000 0.000 0.000
2 W 0.500 0.500 0.500
3 Se 0.500 0.500 0.000
4 Br 0.000 0.500 0.500

energy: -4.16 eV per atom
DOS at the Fermi energy: 0.5194 states/eV/atom

***

10.
The following is a DFT calculation (GGA-PBE) of a relaxed structure of CuWSeBr2.

Cell: 4.816 4.816 5.043 Å, 90.00 90.00 90.00°
Space group P4/mmm (No. 123)
Unique sites:
1 Cu 0.000 0.000 0.000
2 W 0.500 0.500 0.500
3 Se 0.000 0.000 0.500
4 Br 0.000 0.500 0.000

energy: -3.67 eV per atom
DOS at the Fermi energy: 1.2220 states/eV/atom

***

11.
The following is a DFT calculation (GGA-PBE) of a relaxed structure of CuWSe2Br.

Cell: 4.845 4.845 4.674 Å, 90.00 90.00 90.00°
Space group P4/mmm (No. 123)
Unique sites:
1 Cu 0.000 0.000 0.000
2 W 0.500 0.500 0.500
3 Se 0.000 0.500 0.000
4 Br 0.000 0.000 0.500

energy: -4.00 eV per atom
DOS at the Fermi energy: 0.8024 states/eV/atom

***

12.
The following is a DFT calculation (GGA-PBE) of a relaxed structure of YCuSeBr2.

Cell: 4.853 4.853 5.165 Å, 90.00 90.00 90.00°
Space group P4/mmm (No. 123)
Unique sites:
1 Y 0.000 0.000 0.000
2 Cu 0.500 0.500 0.500
3 Se 0.500 0.500 0.000
4 Br 0.000 0.500 0.500

energy: -4.01 eV per atom
DOS at the Fermi energy: 0.5051 states/eV/atom

***

no.,ΔE_f (raw) (eV/atom)
1,-0.152
2,1.017
3,-0.107
4,-0.420
5,0.447
6,-0.201
7,0.084
8,0.573
9,0.613
10,1.106
11,1.137
12,-0.532